1.
Below is a geometry-optimized ZrHg3 structure, with properties calculated at the PBE-GGA level.

Cell lengths 3.256, 3.256, 10.043 Å; angles 90.00, 90.00, 120.00 degrees
Positions (direct):
Zr  0.000  0.000  0.000
Hg  0.000  0.000  0.500
Hg  0.667  0.333  0.244
Hg  0.667  0.333  0.756

Output
**ρ**: 12.48 g cm⁻³
**E**: -9.384 eV per cell
**SG**: No. 187
**E_form**: 0.02 eV per atom
**Crystal system**: hexagonal
**DOS at the Fermi energy**: 0.74 states/eV/atom


2.
Below is a geometry-optimized Zr2Hg structure, with properties calculated at the PBE-GGA level.

Cell lengths 5.775, 5.775, 5.775 Å; angles 60.00, 60.00, 60.00 degrees
Positions (direct):
Zr  0.000  0.000  0.000
Zr  0.000  0.000  0.500
Zr  0.000  0.500  0.000
Zr  0.500  0.000  0.000
Hg  0.375  0.375  0.375
Hg  0.625  0.625  0.625

Output
**ρ**: 9.34 g cm⁻³
**E**: -33.320 eV per cell
**SG**: No. 227
**E_form**: 0.25 eV per atom
**Crystal system**: cubic
**DOS at the Fermi energy**: 0.89 states/eV/atom


3.
Below is a geometry-optimized ZrHg4 structure, with properties calculated at the PBE-GGA level.

Cell lengths 5.506, 5.506, 5.506 Å; angles 99.70, 99.70, 131.52 degrees
Positions (direct):
Zr  0.000  0.000  0.000
Hg  0.204  0.400  0.603
Hg  0.400  0.796  0.196
Hg  0.600  0.204  0.804
Hg  0.796  0.600  0.397

Output
**ρ**: 13.02 g cm⁻³
**E**: -9.254 eV per cell
**SG**: No. 87
**E_form**: 0.10 eV per atom
**Crystal system**: tetragonal
**DOS at the Fermi energy**: 0.73 states/eV/atom


4.
Below is a geometry-optimized Zr5Hg structure, with properties calculated at the PBE-GGA level.

Cell lengths 5.810, 5.810, 5.810 Å; angles 60.00, 60.00, 60.00 degrees
Positions (direct):
Zr  0.000  0.000  0.000
Zr  0.119  0.627  0.627
Zr  0.627  0.119  0.627
Zr  0.627  0.627  0.119
Zr  0.627  0.627  0.627
Hg  0.250  0.250  0.250

Output
**ρ**: 7.87 g cm⁻³
**E**: -41.639 eV per cell
**SG**: No. 216
**E_form**: 0.23 eV per atom
**Crystal system**: cubic
**DOS at the Fermi energy**: 1.40 states/eV/atom


5.
Below is a geometry-optimized Zr2Hg structure, with properties calculated at the PBE-GGA level.

Cell lengths 5.990, 4.783, 9.312 Å; angles 90.00, 90.00, 90.00 degrees
Positions (direct):
Zr  0.096  0.250  0.205
Zr  0.141  0.250  0.551
Zr  0.359  0.750  0.051
Zr  0.404  0.750  0.705
Zr  0.596  0.250  0.295
Zr  0.641  0.250  0.949
Zr  0.859  0.750  0.449
Zr  0.904  0.750  0.795
Hg  0.165  0.250  0.874
Hg  0.335  0.750  0.374
Hg  0.665  0.250  0.626
Hg  0.835  0.750  0.126

Output
**ρ**: 9.54 g cm⁻³
**E**: -70.729 eV per cell
**SG**: No. 62
**E_form**: -0.09 eV per atom
**Crystal system**: orthorhombic
**DOS at the Fermi energy**: 1.42 states/eV/atom


6.
Below is a geometry-optimized ZrHg structure, with properties calculated at the PBE-GGA level.

Cell lengths 6.039, 6.039, 7.453 Å; angles 107.12, 107.12, 31.47 degrees
Positions (direct):
Zr  0.000  0.000  0.000
Zr  0.344  0.344  0.664
Zr  0.626  0.626  0.737
Hg  0.289  0.289  0.053
Hg  0.674  0.674  0.331
Hg  0.956  0.956  0.400

Output
**ρ**: 10.76 g cm⁻³
**E**: -26.872 eV per cell
**SG**: No. 8
**E_form**: -0.05 eV per atom
**Crystal system**: monoclinic
**DOS at the Fermi energy**: 0.81 states/eV/atom


7.
Below is a geometry-optimized Zr2Hg structure, with properties calculated at the PBE-GGA level.

Cell lengths 8.232, 8.232, 3.477 Å; angles 90.00, 90.00, 120.00 degrees
Positions (direct):
Zr  0.000  0.282  0.000
Zr  0.000  0.610  0.500
Zr  0.282  0.000  0.000
Zr  0.390  0.390  0.500
Zr  0.610  0.000  0.500
Zr  0.718  0.718  0.000
Hg  0.000  0.000  0.500
Hg  0.333  0.667  0.000
Hg  0.667  0.333  0.000

Output
**ρ**: 9.35 g cm⁻³
**E**: -52.723 eV per cell
**SG**: No. 189
**E_form**: -0.06 eV per atom
**Crystal system**: hexagonal
**DOS at the Fermi energy**: 1.24 states/eV/atom


8.
Below is a geometry-optimized Zr2Hg structure, with properties calculated at the PBE-GGA level.

Cell lengths 5.667, 5.667, 5.667 Å; angles 104.55, 104.55, 119.83 degrees
Positions (direct):
Zr  0.150  0.650  0.799
Zr  0.350  0.150  0.500
Zr  0.650  0.850  0.500
Zr  0.850  0.350  0.201
Hg  0.250  0.250  0.000
Hg  0.750  0.750  0.000

Output
**ρ**: 9.31 g cm⁻³
**E**: -34.944 eV per cell
**SG**: No. 140
**E_form**: -0.02 eV per atom
**Crystal system**: tetragonal
**DOS at the Fermi energy**: 1.44 states/eV/atom


9.
Below is a geometry-optimized ZrHg structure, with properties calculated at the PBE-GGA level.

Cell lengths 6.221, 6.221, 4.481 Å; angles 90.00, 90.00, 148.86 degrees
Positions (direct):
Zr  0.176  0.824  0.750
Zr  0.824  0.176  0.250
Hg  0.426  0.574  0.750
Hg  0.574  0.426  0.250

Output
**ρ**: 10.81 g cm⁻³
**E**: -18.110 eV per cell
**SG**: No. 63
**E_form**: -0.10 eV per atom
**Crystal system**: orthorhombic
**DOS at the Fermi energy**: 1.01 states/eV/atom


10.
Below is a geometry-optimized Zr2Hg structure, with properties calculated at the PBE-GGA level.

Cell lengths 5.037, 5.037, 6.031 Å; angles 90.00, 90.00, 120.00 degrees
Positions (direct):
Zr  0.000  0.000  0.000
Zr  0.000  0.000  0.500
Zr  0.333  0.667  0.250
Zr  0.667  0.333  0.750
Hg  0.333  0.667  0.750
Hg  0.667  0.333  0.250

Output
**ρ**: 9.60 g cm⁻³
**E**: -35.368 eV per cell
**SG**: No. 194
**E_form**: -0.10 eV per atom
**Crystal system**: hexagonal
**DOS at the Fermi energy**: 1.40 states/eV/atom


11.
Below is a geometry-optimized ZrHg structure, with properties calculated at the PBE-GGA level.

Cell lengths 11.749, 4.915, 6.058 Å; angles 90.00, 90.00, 90.00 degrees
Positions (direct):
Zr  0.056  0.250  0.137
Zr  0.182  0.750  0.387
Zr  0.318  0.250  0.887
Zr  0.444  0.750  0.637
Zr  0.556  0.250  0.363
Zr  0.682  0.750  0.113
Zr  0.818  0.250  0.613
Zr  0.944  0.750  0.863
Hg  0.071  0.250  0.640
Hg  0.193  0.750  0.892
Hg  0.307  0.250  0.392
Hg  0.429  0.750  0.140
Hg  0.571  0.250  0.860
Hg  0.693  0.750  0.608
Hg  0.807  0.250  0.108
Hg  0.929  0.750  0.360

Output
**ρ**: 11.08 g cm⁻³
**E**: -72.702 eV per cell
**SG**: No. 62
**E_form**: -0.12 eV per atom
**Crystal system**: orthorhombic
**DOS at the Fermi energy**: 1.04 states/eV/atom


12.
Below is a geometry-optimized Zr2Hg structure, with properties calculated at the PBE-GGA level.

Cell lengths 5.047, 5.047, 3.052 Å; angles 90.00, 90.00, 120.00 degrees
Positions (direct):
Zr  0.333  0.667  0.226
Zr  0.667  0.333  0.774
Hg  0.000  0.000  0.500

Output
**ρ**: 9.45 g cm⁻³
**E**: -17.059 eV per cell
**SG**: No. 164
**E_form**: 0.11 eV per atom
**Crystal system**: trigonal
**DOS at the Fermi energy**: 1.77 states/eV/atom


What is the E_form in the fourth record? 0.23 eV per atom


What is the DOS at the Fermi energy in the first record? 0.74 states/eV/atom


Repeat the seventh record exactly.
Below is a geometry-optimized Zr2Hg structure, with properties calculated at the PBE-GGA level.

Cell lengths 8.232, 8.232, 3.477 Å; angles 90.00, 90.00, 120.00 degrees
Positions (direct):
Zr  0.000  0.282  0.000
Zr  0.000  0.610  0.500
Zr  0.282  0.000  0.000
Zr  0.390  0.390  0.500
Zr  0.610  0.000  0.500
Zr  0.718  0.718  0.000
Hg  0.000  0.000  0.500
Hg  0.333  0.667  0.000
Hg  0.667  0.333  0.000

Output
**ρ**: 9.35 g cm⁻³
**E**: -52.723 eV per cell
**SG**: No. 189
**E_form**: -0.06 eV per atom
**Crystal system**: hexagonal
**DOS at the Fermi energy**: 1.24 states/eV/atom